# CsTbZnSe3

CsTbZnSe3 after structural relaxation (GGA-PBEsol, Alexandria via LeMat-Bulk).

Computed properties:
* calculated total energy: -4.594 eV per atom
* theoretical density: 5610 kg/m3
* DOS at the Fermi energy: 0.00 states/eV per atom
* magnetization: 0.0 μB/f.u.
* energy relative to the elements, uncorrected: -1.4127 eV per atom

Lattice parameters (Å, degrees): 4.1045 8.1700 10.8369 90.00 90.00 104.55
Last column: nearest neighbours and their distance in Å.
Sites, in units of the cell vectors:
Tb 0.0000 0.0000 0.0000  6 Se 2.86
Tb 0.0000 0.0000 0.5000  6 Se 2.86
Zn 0.4627 0.9255 0.2500  4 Se 2.43-2.54
Zn 0.5373 0.0745 0.7500  4 Se 2.43-2.54
Cs 0.7438 0.4876 0.2500  8 Se 3.59-3.90
Cs 0.2562 0.5124 0.7500  8 Se 3.59-3.90
Se 0.9426 0.8852 0.7500  2 Zn 2.54
Se 0.0574 0.1148 0.2500  2 Zn 2.54
Se 0.3814 0.7628 0.4400  1 Zn 2.43
Se 0.3814 0.7628 0.0600  1 Zn 2.43
Se 0.6186 0.2372 0.5600  1 Zn 2.43
Se 0.6186 0.2372 0.9400  1 Zn 2.43

# CsTe2Se

CsTe2Se after structural relaxation (GGA-PBEsol, Alexandria via LeMat-Bulk).

Computed properties:
* calculated total energy: -2.907 eV per atom
* theoretical density: 4718 kg/m3
* DOS at the Fermi energy: 0.69 states/eV per atom
* magnetization: 0.0 μB/f.u.
* energy relative to the elements, uncorrected: 0.0545 eV per atom

Lattice parameters (Å, degrees): 4.3055 4.3055 10.5382 78.21 78.21 60.00
Last column: nearest neighbours and their distance in Å.
Sites, in units of the cell vectors:
Se 0.5000 0.5000 0.5000  6 Te 2.91
Te 0.8827 0.8827 0.3520  3 Se 2.91
Te 0.1173 0.1173 0.6480  3 Se 2.91
Cs 0.0000 0.0000 0.0000  2 Te 3.61